Entry 1:
{
  "formula": "TbCu3Rh4O12",
  "functional": "PBE",
  "state": "relaxed",
  "cell": [[6.506, 0.000, 0.000], [-2.169, 6.133, 0.000], [-2.169, -3.067, 5.312]],
  "species": ["Rh", "Rh", "Rh", "Rh", "Tb", "O", "O", "O", "O", "O", "O", "O", "O", "O", "O", "O", "O", "Cu", "Cu", "Cu"],
  "frac_coords": [[0.500, 0.000, 0.000], [0.500, 0.500, 0.500], [0.000, 0.500, 0.000], [0.000, 0.000, 0.500], [0.000, 0.000, 0.000], [0.465, 0.302, 0.162], [0.860, 0.698, 0.162], [0.698, 0.162, 0.860], [0.162, 0.860, 0.698], [0.302, 0.162, 0.465], [0.838, 0.535, 0.698], [0.838, 0.140, 0.302], [0.140, 0.302, 0.838], [0.698, 0.838, 0.535], [0.302, 0.838, 0.140], [0.162, 0.465, 0.302], [0.535, 0.698, 0.838], [0.500, 0.000, 0.500], [0.000, 0.500, 0.500], [0.500, 0.500, 0.000]],
  "magmom_total_mub_per_fu": 0.00,
  "raw_formation_energy_kj_per_mol_atoms": -98.85
}

Entry 2:
{
  "formula": "ZrGeOs",
  "functional": "PBE",
  "state": "relaxed",
  "cell": [[-3.413, -0.280, 5.835], [-3.010, -1.845, -5.771], [1.199, -3.608, 0.528]],
  "species": ["Zr", "Zr", "Zr", "Os", "Os", "Os", "Ge", "Ge", "Ge"],
  "frac_coords": [[0.000, 0.582, 0.500], [0.418, 0.418, 0.500], [0.582, 0.000, 0.500], [0.000, 0.244, 0.000], [0.756, 0.756, 0.000], [0.244, 0.000, 0.000], [0.667, 0.333, 0.000], [0.000, 0.000, 0.500], [0.333, 0.667, 0.000]],
  "delta_e_f_ev_per_atom": -0.63,
  "magmom_total_mub_per_fu": 0.00
}

Entry 3:
{
  "formula": "Sc3CoAu",
  "functional": "PBE",
  "state": "relaxed",
  "cell": [[4.759, 0.000, 0.000], [0.000, 4.759, 0.000], [0.000, 0.000, 4.759]],
  "species": ["Sc", "Sc", "Sc", "Au", "Co"],
  "frac_coords": [[0.500, 0.000, 0.000], [0.000, 0.500, 0.000], [0.000, 0.000, 0.500], [0.500, 0.500, 0.500], [0.000, 0.000, 0.000]],
  "delta_e_f_ev_per_atom": -0.22,
  "magmom_total_mub_per_fu": 0.00,
  "relative_energy_ev_per_fu": 1.17
}

Entry 4:
{
  "formula": "Ac2Tb3Pr7",
  "functional": "PBE",
  "state": "relaxed",
  "cell": [[3.679, 0.000, 0.000], [0.000, 6.532, -0.852], [0.000, -2.248, 18.623]],
  "species": ["Pr", "Pr", "Pr", "Pr", "Pr", "Pr", "Pr", "Tb", "Tb", "Tb", "Ac", "Ac"],
  "frac_coords": [[0.000, 0.441, 0.160], [0.000, 0.559, 0.840], [0.500, 0.236, 0.497], [0.500, 0.764, 0.503], [0.500, 0.065, 0.834], [0.500, 0.935, 0.166], [0.000, 0.000, 0.000], [0.500, 0.500, 0.000], [0.000, 0.111, 0.661], [0.000, 0.889, 0.339], [0.500, 0.612, 0.672], [0.500, 0.388, 0.328]],
  "delta_e_f_ev_per_atom": 0.08,
  "magmom_total_mub_per_fu": 0.00
}

Entry 5:
{
  "formula": "K2AgPb",
  "functional": "PBE",
  "state": "relaxed",
  "cell": [[-7.607, 1.409, 0.502], [1.818, -5.918, -1.325], [-1.931, -1.242, 2.989]],
  "species": ["Ag", "K", "K", "Pb"],
  "frac_coords": [[0.500, 0.500, 0.000], [0.000, 0.000, 0.000], [0.500, 0.000, 0.500], [0.000, 0.500, 0.500]],
  "delta_e_f_ev_per_atom": 0.06,
  "magmom_total_mub_per_fu": 0.15
}

Entry 6:
{
  "formula": "Pm2DyHo3Te6",
  "functional": "PBE",
  "state": "relaxed",
  "cell": [[-2.062, -1.865, -3.343], [0.743, -7.873, 3.935], [-7.307, 4.304, 4.933]],
  "species": ["Dy", "Te", "Te", "Te", "Te", "Te", "Te", "Pm", "Pm", "Ho", "Ho", "Ho"],
  "frac_coords": [[0.500, 0.000, 0.000], [0.997, 0.249, 0.994], [0.337, 0.410, 0.674], [0.335, 0.924, 0.670], [0.003, 0.751, 0.006], [0.663, 0.590, 0.326], [0.665, 0.076, 0.330], [0.169, 0.337, 0.338], [0.831, 0.663, 0.662], [0.829, 0.166, 0.659], [0.500, 0.500, 0.000], [0.171, 0.834, 0.341]],
  "magmom_total_mub_per_fu": 0.00,
  "raw_formation_energy_kj_per_mol_atoms": -126.14
}

Entry 7:
{
  "formula": "CaNd2ErAs4",
  "functional": "PBE",
  "state": "relaxed",
  "cell": [[4.224, 0.000, 0.000], [0.000, 7.266, -0.122], [0.000, 2.577, 6.880]],
  "species": ["Nd", "Nd", "Er", "As", "As", "As", "As", "Ca"],
  "frac_coords": [[0.500, 0.000, 0.500], [0.000, 0.000, 0.000], [0.000, 0.500, 0.500], [0.500, 0.742, 0.258], [0.000, 0.746, 0.745], [0.500, 0.258, 0.742], [0.000, 0.254, 0.255], [0.500, 0.500, 0.000]],
  "delta_e_f_ev_per_atom": -1.34,
  "magmom_total_mub_per_fu": 0.00
}

Entry 8:
{
  "formula": "ScNCl2",
  "functional": "PBE",
  "state": "relaxed",
  "cell": [[2.291, 0.000, 10.212], [-1.145, 1.984, 10.212], [-1.145, -1.984, 10.212]],
  "species": ["Sc", "N", "Cl", "Cl"],
  "frac_coords": [[0.000, 0.000, 0.000], [0.500, 0.500, 0.500], [0.074, 0.074, 0.074], [0.926, 0.926, 0.926]],
  "magmom_total_mub_per_fu": 2.99,
  "relative_energy_ev_per_fu": 2.30,
  "raw_formation_energy_kj_per_mol_atoms": 44.00
}

Entry 9:
{
  "formula": "La3Tb6Pm2Ho",
  "functional": "PBE",
  "state": "relaxed",
  "cell": [[-5.192, -1.507, 3.195], [5.611, -0.303, 2.801], [-1.261, 11.787, 1.456]],
  "species": ["Tb", "Tb", "Tb", "Tb", "Tb", "Tb", "La", "La", "La", "Pm", "Pm", "Ho"],
  "frac_coords": [[0.918, 0.586, 0.754], [0.082, 0.414, 0.246], [0.414, 0.082, 0.246], [0.749, 0.749, 0.246], [0.586, 0.918, 0.754], [0.251, 0.251, 0.754], [0.167, 0.833, 0.500], [0.833, 0.167, 0.500], [0.500, 0.500, 0.500], [0.666, 0.334, 0.000], [0.334, 0.666, 0.000], [0.000, 0.000, 0.000]],
  "delta_e_f_ev_per_atom": 0.02,
  "magmom_total_mub_per_fu": 0.00
}

Entry 10:
{
  "formula": "Ta4Zn",
  "functional": "PBE",
  "state": "relaxed",
  "cell": [[-2.956, 1.308, 6.617], [-4.611, 4.911, 2.976], [1.697, -4.693, -5.415]],
  "species": ["Zn", "Ta", "Ta", "Ta", "Ta"],
  "frac_coords": [[0.000, 0.000, 0.000], [0.750, 0.250, 0.500], [0.593, 0.593, 0.000], [0.250, 0.750, 0.500], [0.407, 0.407, 0.000]],
  "delta_e_f_ev_per_atom": 0.85,
  "magmom_total_mub_per_fu": 0.00,
  "relative_energy_ev_per_fu": 3.86
}

Entry 11:
{
  "formula": "AcYbHg2",
  "functional": "PBE",
  "state": "relaxed",
  "cell": [[-3.305, -2.829, -3.431], [-2.001, -4.937, 1.524], [-5.385, -0.563, 1.178]],
  "species": ["Hg", "Hg", "Ac", "Yb"],
  "frac_coords": [[0.500, 0.500, 0.500], [0.000, 0.000, 0.000], [0.250, 0.250, 0.250], [0.750, 0.750, 0.750]],
  "delta_e_f_ev_per_atom": -0.58,
  "magmom_total_mub_per_fu": 0.00
}

Entry 12:
{
  "formula": "CrAg2P",
  "functional": "PBE",
  "state": "relaxed",
  "cell": [[3.780, 0.000, 0.000], [0.000, 3.774, 0.000], [0.000, 0.000, 4.620]],
  "species": ["Ag", "Ag", "Cr", "P"],
  "frac_coords": [[0.500, 0.500, 0.000], [0.000, 0.000, 0.000], [0.500, 0.000, 0.500], [0.000, 0.500, 0.500]],
  "delta_e_f_ev_per_atom": 0.27,
  "magmom_total_mub_per_fu": 3.34
}